A relaxed structure of SiRh2Se. Source: the Alexandria database, functional PBE.

Structure (CIF):
```
data_SiRh2Se
_chemical_formula_sum 'Si3 Rh6 Se3'
_symmetry_space_group_name_H-M 'R -3 m'
_symmetry_Int_Tables_number 166
_symmetry_space_group_name_Hall '-R 3 2"'
_cell_length_a 2.9698
_cell_length_b 2.9698
_cell_length_c 23.2686
_cell_angle_alpha 90.00
_cell_angle_beta 90.00
_cell_angle_gamma 120.00
loop_
_atom_site_label
_atom_site_fract_x
_atom_site_fract_y
_atom_site_fract_z
_atom_site_occupancy
Si1 0.0000 0.0000 0.0000 1
Rh1 0.0000 0.0000 0.2572 1
Se1 0.0000 0.0000 0.5000 1
```

Output
Relative energy among the computed polymorphs, meV per atom: 151
E_tot, eV per cell: -74.7
Total magnetization, μB/f.u.: 0.0